A relaxed Tc3Ag crystal. Source: Alexandria via LeMat-Bulk, functional PBE-GGA.

Properties
For the energy relative to the lowest polymorph listed for this composition, the calculation gives 134 meV per atom. For the energy of formation, the calculation gives 137.1 kJ/mol of formula units. Its symmetry is No. 194. The value obtained for the magnetic moment is 0.00 Bohr magnetons per cell.

```
data_Tc3Ag
_chemical_formula_sum 'Tc6 Ag2'
_symmetry_space_group_name_H-M 'P 1'
_symmetry_Int_Tables_number 1
_cell_length_a 5.585
_cell_length_b 5.585
_cell_length_c 4.475
_cell_angle_alpha 90.00
_cell_angle_beta 90.00
_cell_angle_gamma 120.00
loop_
_symmetry_equiv_pos_as_xyz
'x,y,z'
loop_
_atom_site_label
_atom_site_type_symbol
_atom_site_fract_x
_atom_site_fract_y
_atom_site_fract_z
_atom_site_occupancy
Tc1 Tc 0.158 0.842 0.750 1
Tc2 Tc 0.158 0.317 0.750 1
Tc3 Tc 0.683 0.842 0.750 1
Tc4 Tc 0.842 0.683 0.250 1
Ag1 Ag 0.667 0.333 0.750 1
Ag2 Ag 0.333 0.667 0.250 1
Tc5 Tc 0.842 0.158 0.250 1
Tc6 Tc 0.317 0.158 0.250 1
```